Entry 1:
First-principles (PBE) data for an optimized crystal structure of In4BiPb5, as listed in the Alexandria database.

The space group is P4/mmm (No. 123) and the conventional cell measures 3.5317, 3.5317 and 24.0134 Å, with angles of 90.00, 90.00 and 90.00 degrees. The asymmetric unit holds In at (0.0000, 0.0000, 0.0977), In at (0.0000, 0.0000, 0.2940), Bi at (0.0000, 0.0000, 0.5000), Pb at (0.5000, 0.5000, 0.0000), Pb at (0.5000, 0.5000, 0.1965) and Pb at (0.5000, 0.5000, 0.3938).

As for the formation energy: 0.01 eV/atom. As for the total DFT energy (no corrections): -3.32 eV per atom. For the mass density, the calculation gives 9.448 g cm⁻³.

---

Entry 2:
First-principles (PBE) data for an optimized crystal structure of In2BiPb2, as listed in the Alexandria database.

The space group is I4/mmm (No. 139) and the conventional cell measures 4.4552, 4.4552 and 16.1722 Å, with angles of 90.00, 90.00 and 90.00 degrees. The asymmetric unit holds In at (0.0000, 0.0000, 0.0923), Bi at (0.0000, 0.0000, 0.5000) and Pb at (0.0000, 0.5000, 0.2500).

As for the formation energy: 0.19 eV/atom. As for the total DFT energy (no corrections): -3.16 eV per atom. The calculation puts the relative energy among the computed polymorphs at 0.151 eV/atom. For the mass density, the calculation gives 8.825 g cm⁻³.

---

Entry 3:
First-principles (PBE) data for an optimized crystal structure of InBi5Pb6, as listed in the Alexandria database.

The space group is C2/m (No. 12) and the conventional cell measures 11.6792, 13.9365 and 5.1926 Å, with angles of 90.00, 116.22 and 90.00 degrees. The asymmetric unit holds In at (0.0000, 0.0000, 0.0000), Bi at (0.0000, 0.1719, 0.5000), Bi at (0.0000, 0.3387, 0.0000), Bi at (0.0000, 0.5000, 0.5000), Pb at (0.2384, 0.0000, 0.7363) and Pb at (0.2430, 0.1633, 0.2404).

As for the formation energy: 0.04 eV/atom. As for the total DFT energy (no corrections): -3.66 eV per atom. For the mass density, the calculation gives 10.525 g cm⁻³.